# Dy2Y2C3 | OQMD | PBE | optimized geometry
# Uncorrected energy, eV per cell: -102.61
data_Dy2Y2C3
_chemical_formula_sum 'Dy4 Y4 C6'
_cell_length_a 12.962
_cell_length_b 3.683
_cell_length_c 6.103
_cell_angle_alpha 90.00
_cell_angle_beta 114.63
_cell_angle_gamma 90.00
_space_group_name_H-M_alt 'C 1 2/m 1'
_space_group_IT_number 12
loop_
_space_group_symop_operation_xyz
'x,y,z'
'-x,-y,-z'
'-x,y,-z'
'x,-y,z'
'x+1/2,y+1/2,z'
'-x+1/2,-y+1/2,-z'
'-x+1/2,y+1/2,-z'
'x+1/2,-y+1/2,z'
loop_
_atom_site_label
_atom_site_type_symbol
_atom_site_fract_x
_atom_site_fract_y
_atom_site_fract_z
Dy1 Dy 0.133 0.000 0.448
Y1 Y 0.136 0.500 0.996
C1 C 0.000 0.000 0.000
C2 C 0.223 0.500 0.710